## CuRu (PBE)

Data for a relaxed CuRu crystal.

CIF file:
```
data_CuRu
_chemical_formula_sum 'Cu2 Ru2'
_cell_length_a 2.714
_cell_length_b 3.683
_cell_length_c 5.288
_cell_angle_alpha 90.00
_cell_angle_beta 90.00
_cell_angle_gamma 90.00
_symmetry_space_group_name_H-M 'P m m n'
_symmetry_Int_Tables_number 59
loop_
_symmetry_equiv_pos_as_xyz
'x,y,z'
'-x,-y,-z'
'-x+1/2,-y+1/2,z'
'x+1/2,y+1/2,-z'
'x+1/2,-y,-z'
'-x+1/2,y,z'
'-x,y+1/2,-z'
'x,-y+1/2,z'
loop_
_atom_site_label
_atom_site_fract_x
_atom_site_fract_y
_atom_site_fract_z
Cu1 0.250 0.250 0.109
Ru1 0.250 0.250 0.609
```

## Properties
DOS at the Fermi energy: 1.587 states/eV/f.u.
Energy: -6.528 eV/atom